# NaDyO, relaxed, DFT PBE
data_NaDyO
_cell_length_a 3.7009
_cell_length_b 3.7009
_cell_length_c 6.6700
_cell_angle_alpha 90.00
_cell_angle_beta 90.00
_cell_angle_gamma 120.00
_space_group_name_H-M_alt 'P 3 m 1'
_space_group_IT_number 156
_space_group_name_Hall 'P 3 -2"'
loop_
_atom_site_label
_atom_site_type_symbol
_atom_site_fract_x
_atom_site_fract_y
_atom_site_fract_z
Na1 Na 0.0000 0.0000 0.0000
Dy1 Dy 0.6667 0.3333 0.4666
O1 O 0.3333 0.6667 0.5358
# - DOS at the Fermi energy: 1.1 states/eV/cell
# - Energy: -5.324 eV/atom
# - Crystal system: trigonal
# - Formation energy (no corrections): -1697 meV per atom
# - Calculated volume: 26.4 A^3/atom


# NaDyO2, relaxed, DFT PBE
data_NaDyO2
_cell_length_a 6.675
_cell_length_b 13.284
_cell_length_c 5.991
_cell_angle_alpha 90.00
_cell_angle_beta 122.55
_cell_angle_gamma 90.00
_space_group_name_H-M_alt 'C 1 2/c 1'
_space_group_IT_number 15
_space_group_name_Hall '-C 2yc'
loop_
_atom_site_label
_atom_site_type_symbol
_atom_site_fract_x
_atom_site_fract_y
_atom_site_fract_z
Na1 Na 0.000 0.056 0.250
Na2 Na 0.000 0.180 0.750
Dy1 Dy 0.000 0.307 0.250
Dy2 Dy 0.000 0.433 0.750
O1 O 0.205 0.436 0.205
O2 O 0.228 0.312 0.707
# - DOS at the Fermi energy: 0.0 states/eV/cell
# - Energy: -6.766 eV/atom
# - Crystal system: monoclinic
# - Formation energy (no corrections): -2807 meV per atom
# - Calculated volume: 14.0 A^3/atom


# NaDyO2, relaxed, DFT PBE
data_NaDyO2
_cell_length_a 3.4047
_cell_length_b 3.4047
_cell_length_c 17.5558
_cell_angle_alpha 90.00
_cell_angle_beta 90.00
_cell_angle_gamma 120.00
_space_group_name_H-M_alt 'R 3 m'
_space_group_IT_number 160
_space_group_name_Hall 'R 3 -2"'
loop_
_atom_site_label
_atom_site_type_symbol
_atom_site_fract_x
_atom_site_fract_y
_atom_site_fract_z
Na1 Na 0.0000 0.0000 0.0000
Dy1 Dy 0.0000 0.0000 0.1738
O1 O 0.0000 0.0000 0.5767
O2 O 0.0000 0.0000 0.7737
# - DOS at the Fermi energy: 0.0 states/eV/cell
# - Energy: -6.689 eV/atom
# - Crystal system: trigonal
# - Formation energy (no corrections): -2730 meV per atom
# - Calculated volume: 14.7 A^3/atom